No. 1
Below is a geometry-optimized NdAu2O4 structure, with properties calculated at the PBE-GGA level.

a b c (Å): 8.3145 7.7884 6.0357
angles (deg): 113.73 108.01 115.96
Sites, in units of the cell vectors:
Au  0.6250  0.3750  0.2500
Au  0.6250  0.3750  0.7500
Au  0.6250  0.8750  0.2500
Au  0.1250  0.3750  0.7500
O  0.8508  0.5523  0.1870
O  0.3992  0.1977  0.3130
O  0.3301  0.7255  0.9055
O  0.2482  0.4639  0.1586
O  0.8091  0.6225  0.7070
O  0.4409  0.1275  0.7930
O  0.9199  0.0245  0.5945
O  0.0018  0.2861  0.3414
Nd  0.0477  0.0705  0.0288
Nd  0.2023  0.6795  0.4712

Summary:
The raw total energy comes out at -5.6015 eV per atom. For the uncorrected formation energy, the calculation gives -8.05 eV per formula unit. The spin magnetization is 0.00 Bohr magnetons per cell. The space group is No. 2.

No. 2
Below is a geometry-optimized Nd6Au2O structure, with properties calculated at the PBE-GGA level.

a b c (Å): 6.7266 7.2817 10.2180
angles (deg): 90.00 89.04 90.00
Sites, in units of the cell vectors:
Au  0.0611  0.5957  0.7503
Au  0.5611  0.9043  0.2503
Au  0.9389  0.4043  0.2497
Au  0.4389  0.0957  0.7497
Nd  0.6747  0.2015  0.0555
Nd  0.6280  0.4789  0.7582
Nd  0.1280  0.0211  0.2582
Nd  0.3720  0.5211  0.2418
Nd  0.1747  0.2985  0.5555
Nd  0.8253  0.7015  0.4445
Nd  0.3253  0.7985  0.9445
Nd  0.8720  0.9789  0.7418
Nd  0.1868  0.3115  0.9465
Nd  0.6868  0.1885  0.4465
Nd  0.3132  0.8115  0.5535
Nd  0.8132  0.6885  0.0535
O  0.0000  0.0000  0.5000
O  0.5000  0.5000  0.0000

Summary:
The raw total energy comes out at -5.4102 eV per atom. For the uncorrected formation energy, the calculation gives -8.57 eV per formula unit. The spin magnetization is 0.00 Bohr magnetons per cell. The space group is No. 14.